The following is a PBE calculation of an optimized crystal structure of Cu3Tc, from Alexandria.

Results
Density in kg/m3: 9366
SG: P2/m
Fermi-level density of states in states/eV/f.u.: 3.664
Formation enthalpy at 0 K in meV per atom: 223
Total magnetic moment in Bohr magnetons per cell: 0.003

Cell lengths 2.484, 4.219, 4.923 Å; angles 90.00, 82.83, 90.00 degrees
Sites, in units of the cell vectors:
Cu 0.250 0.500 0.250
Cu 0.399 0.000 0.498
Cu 0.101 0.000 0.002
Tc 0.750 0.500 0.750